Material: VBi3Se
Method: DFT, PBE-GGA
State: optimized geometry

Lattice parameters (Å, degrees): 5.5359 5.5359 5.5359 90.00 90.00 90.00
Last column: magnetic moment on the atom in μB.
Element x y z (fractional)
Bi1 0.0000 0.5000 0.0000  -0.02
Bi2 0.0000 0.0000 0.5000  -0.02
Bi3 0.5000 0.0000 0.0000  -0.02
Se1 0.0000 0.0000 0.0000  0.02
V1 0.5000 0.5000 0.5000  3.04

Its space group is Pm-3m, No. 221. Its raw formation energy is 914 meV/atom. Its density of states at the Fermi level is 1.24 states/eV per atom. Its excess energy over the best structure of this formula in the dataset is 0.619 eV per atom.

=====

Material: TmAgHgRh
Method: DFT, PBE-GGA
State: optimized geometry

Lattice parameters (Å, degrees): 4.7896 4.7896 4.7896 60.00 60.00 60.00
Element x y z (fractional)
Tm1 0.5000 0.5000 0.5000
Rh1 0.2500 0.2500 0.2500
Hg1 0.0000 0.0000 0.0000
Ag1 0.7500 0.7500 0.7500

Its space group is F-43m, No. 216. As for the formation energy: -0.35 eV per atom. Its density of states at the Fermi level is 0.59 states/eV per atom.

=====

Material: La3MgPd3
Method: DFT, PBE-GGA
State: optimized geometry

Lattice parameters (Å, degrees): 7.0728 7.0728 7.3474 91.22 91.22 101.29
Element x y z (fractional)
La1 0.6397 0.6397 0.3607
La2 0.1685 0.8315 0.5000
La3 0.8315 0.1685 0.5000
La4 0.2493 0.7507 0.0000
La5 0.7507 0.2493 0.0000
La6 0.3603 0.3603 0.6393
Mg1 0.7469 0.7469 0.8626
Mg2 0.2531 0.2531 0.1374
Pd1 0.9282 0.9282 0.1780
Pd2 0.9532 0.5107 0.7093
Pd3 0.5107 0.9532 0.7093
Pd4 0.0468 0.4893 0.2907
Pd5 0.4893 0.0468 0.2907
Pd6 0.0718 0.0718 0.8220

Its space group is C2/m, No. 12. As for the formation energy: -0.63 eV per atom. Its density of states at the Fermi level is 0.73 states/eV per atom.

=====

Material: Os7Br6
Method: DFT, PBE-GGA
State: optimized geometry

Lattice parameters (Å, degrees): 10.9211 10.9211 10.9211 30.00 30.00 30.00
Element x y z (fractional)
Os1 0.5897 0.1158 0.5897
Os2 0.5897 0.5897 0.1158
Os3 0.1158 0.5897 0.5897
Os4 0.4103 0.8842 0.4103
Os5 0.8842 0.4103 0.4103
Os6 0.4103 0.4103 0.8842
Os7 0.5000 0.5000 0.5000
Br1 0.0826 0.0826 0.0826
Br2 0.9174 0.9174 0.9174
Br3 0.1819 0.1819 0.1819
Br4 0.8181 0.8181 0.8181
Br5 0.3646 0.3646 0.3646
Br6 0.6354 0.6354 0.6354

Its space group is R-3m, No. 166. Its raw formation energy is 1163 meV/atom. Its density of states at the Fermi level is 1.02 states/eV per atom.

=====

Material: Mg5BiPb2
Method: DFT, PBE-GGA
State: optimized geometry

Lattice parameters (Å, degrees): 4.3760 6.4559 8.4770 112.38 104.96 90.00
Element x y z (fractional)
Mg1 0.0000 0.5000 0.0000
Mg2 0.6107 0.3636 0.2213
Mg3 0.3893 0.6364 0.7787
Mg4 0.6107 0.8577 0.2213
Mg5 0.3893 0.1423 0.7787
Bi1 0.0000 0.0000 0.0000
Pb1 0.2182 0.7182 0.4364
Pb2 0.7818 0.2818 0.5636

Its space group is Immm, No. 71. As for the formation energy: -0.03 eV per atom. Its density of states at the Fermi level is 0.44 states/eV per atom. Its excess energy over the best structure of this formula in the dataset is 0.000 eV per atom.

=====

Material: TlWSe2
Method: DFT, PBE-GGA
State: optimized geometry

Lattice parameters (Å, degrees): 4.7991 4.7991 4.7991 60.00 60.00 60.00
Element x y z (fractional)
Tl1 0.5000 0.5000 0.5000
Se1 0.2500 0.2500 0.2500
Se2 0.7500 0.7500 0.7500
W1 0.0000 0.0000 0.0000

Its space group is Fm-3m, No. 225. Its raw formation energy is 608 meV/atom. Its density of states at the Fermi level is 0.36 states/eV per atom. Its excess energy over the best structure of this formula in the dataset is 0.811 eV per atom.